Record 1
Nb4W2Au3N3 (PBE-GGA, relaxed); space-group type = No. 15; calculated density = 12.9 g/cm³; crystal system = monoclinic; calculated volume = 353.3 Å³ per cell; calculated total energy = -8.75 eV per atom
1.0
4.800 -2.771 0.000
4.800 2.771 0.000
-3.192 0.000 13.283
Nb W Au N
8 4 6 6
direct
0.023 0.202 0.087 Nb
0.144 0.303 0.412 Nb
0.202 0.023 0.587 Nb
0.303 0.144 0.912 Nb
0.697 0.856 0.088 Nb
0.798 0.977 0.413 Nb
0.856 0.697 0.588 Nb
0.977 0.798 0.913 Nb
0.363 0.526 0.075 W
0.474 0.637 0.425 W
0.526 0.363 0.575 W
0.637 0.474 0.925 W
0.109 0.891 0.250 Au
0.277 0.416 0.748 Au
0.416 0.277 0.248 Au
0.584 0.723 0.752 Au
0.723 0.584 0.252 Au
0.891 0.109 0.750 Au
0.000 0.500 0.000 N
0.155 0.671 0.500 N
0.329 0.845 0.000 N
0.500 0.000 0.500 N
0.671 0.155 0.000 N
0.845 0.329 0.500 N

Record 2
Y4Nb2Au3N3 (PBE-GGA, relaxed); space-group type = No. 15; calculated density = 9.1 g/cm³; crystal system = monoclinic; calculated volume = 429.9 Å³ per cell; calculated total energy = -7.69 eV per atom
1.0
5.130 -2.989 0.000
5.130 2.989 0.000
-3.427 0.000 14.020
Y Nb Au N
8 4 6 6
direct
0.041 0.194 0.102 Y
0.123 0.300 0.398 Y
0.194 0.041 0.602 Y
0.300 0.123 0.898 Y
0.700 0.877 0.102 Y
0.806 0.959 0.398 Y
0.877 0.700 0.602 Y
0.959 0.806 0.898 Y
0.349 0.524 0.068 Nb
0.476 0.651 0.432 Nb
0.524 0.349 0.568 Nb
0.651 0.476 0.932 Nb
0.145 0.855 0.250 Au
0.308 0.418 0.751 Au
0.418 0.308 0.251 Au
0.582 0.692 0.749 Au
0.692 0.582 0.249 Au
0.855 0.145 0.750 Au
0.000 0.500 0.000 N
0.178 0.661 0.500 N
0.339 0.822 0.000 N
0.500 0.000 0.500 N
0.661 0.178 0.000 N
0.822 0.339 0.500 N

Record 3
Nb4ZnAuN2 (PBE-GGA, relaxed); space-group type = No. 187; calculated density = 9.3 g/cm³; crystal system = hexagonal; calculated volume = 118.0 Å³ per cell; calculated total energy = -8.25 eV per atom
1.0
3.177 0.000 0.000
-1.588 2.751 0.000
0.000 0.000 13.501
Nb Zn Au N
4 1 1 2
direct
0.000 0.000 0.162 Nb
0.000 0.000 0.838 Nb
0.333 0.667 0.333 Nb
0.333 0.667 0.667 Nb
0.333 0.667 0.000 Zn
0.000 0.000 0.500 Au
0.667 0.333 0.249 N
0.667 0.333 0.751 N

Record 4
Zr4Nb2Au3N3 (PBE-GGA, relaxed); space-group type = No. 15; calculated density = 10.2 g/cm³; crystal system = monoclinic; calculated volume = 386.3 Å³ per cell; calculated total energy = -8.36 eV per atom
1.0
4.925 -2.860 0.000
4.925 2.860 0.000
-3.293 0.000 13.712
Zr Nb Au N
8 4 6 6
direct
0.035 0.196 0.096 Zr
0.131 0.303 0.404 Zr
0.196 0.035 0.596 Zr
0.303 0.131 0.904 Zr
0.697 0.869 0.096 Zr
0.804 0.965 0.404 Zr
0.869 0.697 0.596 Zr
0.965 0.804 0.904 Zr
0.358 0.524 0.073 Nb
0.476 0.642 0.427 Nb
0.524 0.358 0.573 Nb
0.642 0.476 0.927 Nb
0.121 0.879 0.250 Au
0.286 0.418 0.750 Au
0.418 0.286 0.250 Au
0.582 0.714 0.750 Au
0.714 0.582 0.250 Au
0.879 0.121 0.750 Au
0.000 0.500 0.000 N
0.152 0.674 0.500 N
0.326 0.848 0.000 N
0.500 0.000 0.500 N
0.674 0.152 0.000 N
0.848 0.326 0.500 N

Record 5
NdAuNO (PBE-GGA, relaxed); space-group type = No. 129; calculated density = 10.2 g/cm³; polymorph energy (0 for the lowest one) = 1.029 eV/f.u.; crystal system = tetragonal; calculated volume = 121.0 Å³ per cell; calculated total energy = -6.11 eV per atom
1.0
5.123 0.000 0.000
0.000 5.123 0.000
0.000 0.000 4.610
Nd Au N O
2 2 2 2
direct
0.250 0.750 0.000 Nd
0.750 0.250 0.000 Nd
0.250 0.250 0.497 Au
0.750 0.750 0.503 Au
0.250 0.250 0.997 N
0.750 0.750 0.003 N
0.250 0.750 0.500 O
0.750 0.250 0.500 O

Record 6
NdAuNO (PBE-GGA, relaxed); space-group type = No. 129; calculated density = 9.9 g/cm³; polymorph energy (0 for the lowest one) = 0.718 eV/f.u.; crystal system = tetragonal; calculated volume = 125.1 Å³ per cell; calculated total energy = -6.18 eV per atom
1.0
4.015 0.000 0.000
0.000 4.015 0.000
0.000 0.000 7.757
Nd Au N O
2 2 2 2
direct
0.250 0.250 0.152 Nd
0.750 0.750 0.848 Nd
0.250 0.750 0.500 Au
0.750 0.250 0.500 Au
0.250 0.250 0.670 N
0.750 0.750 0.330 N
0.250 0.750 0.000 O
0.750 0.250 0.000 O